Below is crystalline Ta3Au at its relaxed geometry, with properties calculated at the PBE level.

## Properties
total magnetic moment = 0.0 μB per formula unit
symmetry = Pm-3m
energy of formation from the pure elements = 2.734 eV/atom

abc: 5.005 5.005 5.005
angles: 90.00 90.00 90.00
Element x y z (fractional)
Au 0.000 0.000 0.000
Ta 0.500 0.000 0.000
Ta 0.000 0.000 0.500
Ta 0.000 0.500 0.000

Below is crystalline KBaCuBr4 at its relaxed geometry, with properties calculated at the PBE level.

## Properties
total magnetic moment = 0.1 μB per formula unit
symmetry = P2_1/m
formation energy from raw total energies = -1.5066 eV/atom

abc: 7.249 7.403 9.260
angles: 90.00 107.80 90.00
Each line ends with the local moment (μB).
Element x y z (fractional)
Br 0.591 0.250 0.415  0.00
Br 0.415 0.750 0.131  0.00
Br 0.585 0.250 0.869  0.00
Br 0.409 0.750 0.585  0.00
Br 0.005 0.504 0.742  0.01
Br 0.995 0.004 0.258  0.01
Br 0.995 0.496 0.258  0.01
Br 0.005 0.996 0.742  0.01
Ba 0.234 0.250 0.557  0.00
Ba 0.766 0.750 0.443  0.00
Cu 0.230 0.750 0.311  0.10
Cu 0.770 0.250 0.689  0.10
K 0.256 0.250 0.062  0.00
K 0.744 0.750 0.938  0.00

Below is crystalline MgCr2Os at its relaxed geometry, with properties calculated at the PBE level.

## Properties
total magnetic moment = 0.0 μB per formula unit
symmetry = Pm
energy of formation from the pure elements = 0.316 eV/atom

abc: 4.165 2.615 5.052
angles: 79.76 90.00 90.00
Element x y z (fractional)
Cr 0.000 0.018 0.004
Cr 0.500 0.203 0.246
Mg 0.000 0.487 0.494
Os 0.500 0.793 0.755

Below is crystalline Ac4SmY3 at its relaxed geometry, with properties calculated at the PBE level.

## Properties
total magnetic moment = 0.0 μB per formula unit
symmetry = Pmmn
energy of formation from the pure elements = 0.052 eV/atom

abc: 5.414 10.543 10.824
angles: 90.00 90.00 90.00
Element x y z (fractional)
Ac 0.064 0.136 0.750
Ac 0.064 0.862 0.500
Ac 0.564 0.138 0.000
Ac 0.064 0.136 0.250
Ac 0.564 0.137 0.500
Ac 0.064 0.863 0.000
Ac 0.564 0.864 0.250
Ac 0.564 0.864 0.750
Y 0.064 0.389 0.500
Y 0.064 0.610 0.250
Y 0.564 0.390 0.750
Y 0.564 0.611 0.000
Y 0.564 0.390 0.250
Y 0.064 0.610 0.750
Sm 0.564 0.610 0.500
Sm 0.064 0.390 0.000

Below is crystalline PrPd2Pb4 at its relaxed geometry, with properties calculated at the PBE level.

## Properties
total magnetic moment = 0.0 μB per formula unit
symmetry = Pnma
energy of formation from the pure elements = -0.383 eV/atom

abc: 4.660 7.734 19.771
angles: 90.00 90.00 90.00
Element x y z (fractional)
Pb 0.750 0.997 0.067
Pb 0.250 0.819 0.182
Pb 0.750 0.319 0.318
Pb 0.750 0.860 0.468
Pb 0.250 0.681 0.682
Pb 0.750 0.181 0.818
Pb 0.250 0.140 0.532
Pb 0.250 0.239 0.191
Pb 0.250 0.360 0.032
Pb 0.250 0.261 0.691
Pb 0.750 0.640 0.968
Pb 0.750 0.761 0.809
Pb 0.750 0.503 0.567
Pb 0.250 0.003 0.933
Pb 0.250 0.497 0.433
Pb 0.750 0.739 0.309
Pr 0.750 0.528 0.144
Pr 0.250 0.028 0.356
Pr 0.750 0.972 0.644
Pr 0.250 0.472 0.856
Pd 0.250 0.534 0.283
Pd 0.750 0.233 0.458
Pd 0.750 0.466 0.717
Pd 0.250 0.767 0.542
Pd 0.750 0.267 0.958
Pd 0.250 0.966 0.783
Pd 0.750 0.034 0.217
Pd 0.250 0.733 0.042

Below is crystalline Tb5Si2Pb2 at its relaxed geometry, with properties calculated at the PBE level.

## Properties
total magnetic moment = 0.0 μB per formula unit
symmetry = Cmce
formation energy from raw total energies = -0.6480 eV/atom

abc: 7.900 7.857 8.691
angles: 90.00 62.97 90.00
Element x y z (fractional)
Si 0.622 0.123 0.000
Si 0.878 0.623 0.000
Si 0.378 0.877 0.000
Si 0.122 0.377 0.000
Pb 0.785 0.000 0.429
Pb 0.285 0.500 0.429
Pb 0.215 0.000 0.571
Pb 0.715 0.500 0.571
Tb 0.500 0.500 0.000
Tb 0.200 0.174 0.250
Tb 0.800 0.826 0.750
Tb 0.550 0.826 0.250
Tb 0.450 0.174 0.750
Tb 0.050 0.674 0.250
Tb 0.950 0.326 0.750
Tb 0.700 0.326 0.250
Tb 0.300 0.674 0.750
Tb 0.000 0.000 0.000

Below is crystalline GdHoMgGe at its relaxed geometry, with properties calculated at the PBE level.

## Properties
total magnetic moment = 7.4 μB per formula unit
symmetry = F-43m
energy of formation from the pure elements = -0.359 eV/atom

abc: 5.145 5.145 5.145
angles: 60.00 60.00 60.00
Each line ends with the local moment (μB).
Element x y z (fractional)
Mg 0.500 0.500 0.500  0.00
Ge 0.000 0.000 0.000  0.03
Gd 0.250 0.250 0.250  -7.10
Ho 0.750 0.750 0.750  -0.11

Below is crystalline Tb2NdY3Sb6 at its relaxed geometry, with properties calculated at the PBE level.

## Properties
total magnetic moment = 0.0 μB per formula unit
symmetry = C2/m
formation energy from raw total energies = -1.1611 eV/atom

abc: 7.654 7.654 7.650
angles: 99.60 99.60 120.01
Element x y z (fractional)
Sb 0.422 0.085 0.254
Sb 0.254 0.254 0.748
Sb 0.578 0.915 0.746
Sb 0.085 0.422 0.254
Sb 0.746 0.746 0.252
Sb 0.915 0.578 0.746
Nd 0.000 0.000 0.000
Tb 0.333 0.667 0.000
Tb 0.667 0.333 0.000
Y 0.835 0.165 0.500
Y 0.500 0.500 0.500
Y 0.165 0.835 0.500

Below is crystalline Tl2InPt at its relaxed geometry, with properties calculated at the PBE level.

## Properties
total magnetic moment = 0.0 μB per formula unit
symmetry = Fm-3m
energy of formation from the pure elements = 0.143 eV/atom

abc: 5.153 5.153 5.153
angles: 60.00 60.00 60.00
Element x y z (fractional)
Pt 0.500 0.500 0.500
Tl 0.250 0.250 0.250
Tl 0.750 0.750 0.750
In 0.000 0.000 0.000

Below is crystalline Tb3PrIn2 at its relaxed geometry, with properties calculated at the PBE level.

## Properties
total magnetic moment = 0.3 μB per formula unit
symmetry = C2/m
energy of formation from the pure elements = -0.253 eV/atom

abc: 5.413 9.303 9.292
angles: 124.44 90.00 106.92
Each line ends with the local moment (μB).
Element x y z (fractional)
Tb 0.060 0.120 0.406  0.09
Tb 0.616 0.232 0.690  0.08
Tb 0.384 0.768 0.310  0.08
Tb 0.307 0.614 0.607  0.03
Tb 0.940 0.880 0.594  0.09
Tb 0.693 0.386 0.393  0.03
In 0.773 0.547 0.140  0.00
In 0.481 0.963 0.130  0.00
In 0.227 0.453 0.860  0.00
In 0.519 0.037 0.870  0.00
Pr 0.869 0.738 0.909  0.01
Pr 0.131 0.262 0.091  0.01

no.,uncorrected energy (eV per cell)
1,-27.898
2,-48.708
3,-30.805
4,-80.252
5,-130.720
6,-94.493
7,-26.307
8,-72.088
9,-12.939
10,-51.328